Record 1
Entry from the Alexandria database: crystalline Ac2NpSe2N2 at its relaxed geometry (PBE).

Structure (CIF):
```
data_Ac2NpSe2N2
_chemical_formula_sum 'Ac4 Np2 Se4 N4'
_symmetry_space_group_name_H-M 'C 1 2/m 1'
_symmetry_Int_Tables_number 12
_cell_length_a 12.475
_cell_length_b 4.135
_cell_length_c 7.529
_cell_angle_alpha 90.00
_cell_angle_beta 121.10
_cell_angle_gamma 90.00
loop_
_symmetry_equiv_pos_as_xyz
'x,y,z'
'-x,-y,-z'
'-x,y,-z'
'x,-y,z'
'x+1/2,y+1/2,z'
'-x+1/2,-y+1/2,-z'
'-x+1/2,y+1/2,-z'
'x+1/2,-y+1/2,z'
loop_
_atom_site_label
_atom_site_type_symbol
_atom_site_fract_x
_atom_site_fract_y
_atom_site_fract_z
Ac1 Ac 0.191 0.000 0.237
Np1 Np 0.000 0.000 0.500
Se1 Se 0.062 0.500 0.825
N1 N 0.181 0.000 0.572
```

## Properties
For the formation energy (no corrections), the calculation gives -1.633 eV per atom.



Record 2
Entry from the Alexandria database: crystalline Ac2NpSi2N6 at its relaxed geometry (PBE).

Structure (CIF):
```
data_Ac2NpSi2N6
_chemical_formula_sum 'Ac6 Np3 Si6 N18'
_symmetry_space_group_name_H-M 'R -3 m'
_symmetry_Int_Tables_number 166
_symmetry_space_group_name_Hall '-R 3 2"'
_cell_length_a 5.8337
_cell_length_b 5.8337
_cell_length_c 17.0987
_cell_angle_alpha 90.00
_cell_angle_beta 90.00
_cell_angle_gamma 120.00
loop_
_atom_site_label
_atom_site_type_symbol
_atom_site_fract_x
_atom_site_fract_y
_atom_site_fract_z
Ac1 Ac 0.0000 0.0000 0.2211
Np1 Np 0.0000 0.0000 0.0000
Si1 Si 0.0000 0.0000 0.4343
N1 N 0.9998 0.4999 0.2539
```

## Properties
For the formation energy (no corrections), the calculation gives -1.045 eV per atom.



Record 3
Entry from the Alexandria database: crystalline Ac3Sm2NpN6 at its relaxed geometry (PBE).

Structure (CIF):
```
data_Ac3Sm2NpN6
_chemical_formula_sum 'Ac6 Sm4 Np2 N12'
_symmetry_space_group_name_H-M 'C 1 2/m 1'
_symmetry_Int_Tables_number 12
_cell_length_a 6.330
_cell_length_b 10.932
_cell_length_c 6.492
_cell_angle_alpha 90.00
_cell_angle_beta 108.88
_cell_angle_gamma 90.00
loop_
_symmetry_equiv_pos_as_xyz
'x,y,z'
'-x,-y,-z'
'-x,y,-z'
'x,-y,z'
'x+1/2,y+1/2,z'
'-x+1/2,-y+1/2,-z'
'-x+1/2,y+1/2,-z'
'x+1/2,-y+1/2,z'
loop_
_atom_site_label
_atom_site_type_symbol
_atom_site_fract_x
_atom_site_fract_y
_atom_site_fract_z
Ac1 Ac 0.000 0.000 0.000
Ac2 Ac 0.000 0.331 0.000
Sm1 Sm 0.000 0.166 0.500
Np1 Np 0.000 0.500 0.500
N1 N 0.216 0.352 0.704
N2 N 0.230 0.500 0.284
```

## Properties
For the formation energy (no corrections), the calculation gives -1.211 eV per atom.



Record 4
Entry from the Alexandria database: crystalline Ac2NpSnN5 at its relaxed geometry (PBE).

Structure (CIF):
```
data_Ac2NpSnN5
_chemical_formula_sum 'Ac8 Np4 Sn4 N20'
_symmetry_space_group_name_H-M 'C m c 21'
_symmetry_Int_Tables_number 36
_cell_length_a 3.572
_cell_length_b 14.900
_cell_length_c 11.094
_cell_angle_alpha 90.00
_cell_angle_beta 90.00
_cell_angle_gamma 90.00
loop_
_symmetry_equiv_pos_as_xyz
'x,y,z'
'-x,-y,z+1/2'
'-x,y,z'
'x,-y,z+1/2'
'x+1/2,y+1/2,z'
'-x+1/2,-y+1/2,z+1/2'
'-x+1/2,y+1/2,z'
'x+1/2,-y+1/2,z+1/2'
loop_
_atom_site_label
_atom_site_type_symbol
_atom_site_fract_x
_atom_site_fract_y
_atom_site_fract_z
Ac1 Ac 0.000 0.113 0.000
Ac2 Ac 0.000 0.133 0.588
Np1 Np 0.000 0.217 0.305
Sn1 Sn 0.000 0.487 0.771
N1 N 0.000 0.060 0.351
N2 N 0.000 0.281 0.929
N3 N 0.000 0.297 0.682
N4 N 0.000 0.367 0.307
N5 N 0.000 0.497 0.085
```

## Properties
For the formation energy (no corrections), the calculation gives -0.807 eV per atom.



Record 5
Entry from the Alexandria database: crystalline Sr4Ac3NpN8 at its relaxed geometry (PBE).

Structure (CIF):
```
data_Sr4Ac3NpN8
_chemical_formula_sum 'Sr12 Ac9 Np3 N24'
_symmetry_space_group_name_H-M 'R -3 m'
_symmetry_Int_Tables_number 166
_symmetry_space_group_name_Hall '-R 3 2"'
_cell_length_a 7.5892
_cell_length_b 7.5892
_cell_length_c 18.3571
_cell_angle_alpha 90.00
_cell_angle_beta 90.00
_cell_angle_gamma 120.00
loop_
_atom_site_label
_atom_site_type_symbol
_atom_site_fract_x
_atom_site_fract_y
_atom_site_fract_z
Sr1 Sr 0.0000 0.0000 0.0000
Sr2 Sr 0.0000 0.5000 0.0000
Ac1 Ac 0.0000 0.5000 0.5000
Np1 Np 0.0000 0.0000 0.5000
N1 N 0.0000 0.0000 0.2444
N2 N 0.0517 0.5258 0.2339
```

## Properties
For the formation energy (no corrections), the calculation gives -0.883 eV per atom.



Record 6
Entry from the Alexandria database: crystalline SrAcNpN4 at its relaxed geometry (PBE).

Structure (CIF):
```
data_SrAcNpN4
_chemical_formula_sum 'Sr2 Ac2 Np2 N8'
_symmetry_space_group_name_H-M 'I 4 m m'
_symmetry_Int_Tables_number 107
_symmetry_space_group_name_Hall 'I 4 -2'
_cell_length_a 4.256
_cell_length_b 4.256
_cell_length_c 13.106
_cell_angle_alpha 90.00
_cell_angle_beta 90.00
_cell_angle_gamma 90.00
loop_
_atom_site_label
_atom_site_type_symbol
_atom_site_fract_x
_atom_site_fract_y
_atom_site_fract_z
Sr1 Sr 0.000 0.000 0.000
Ac1 Ac 0.000 0.000 0.293
Np1 Np 0.000 0.000 0.643
N1 N 0.000 0.000 0.488
N2 N 0.000 0.000 0.802
N3 N 0.000 0.500 0.150
```

## Properties
For the formation energy (no corrections), the calculation gives -1.066 eV per atom.